15
Lattice="5.649 0.000 0.000 -2.824 4.892 0.000 0.000 0.000 6.926" Properties=species:S:1:pos:R:3 comment="Na3CuNi2F9 (PBE+U, optimized geometry)" total_energy_ev_per_atom=-4.217 space_group="P-3m1 (164)" pbc="T T T"
Na 0.000 3.261 4.508
Na 0.000 0.000 0.000
Na 2.824 1.631 2.418
Cu 0.000 0.000 3.463
Ni 0.000 3.261 1.136
Ni 2.824 1.631 5.791
F 4.221 0.825 4.603
F 2.824 3.243 4.603
F 1.428 0.825 4.603
F 1.396 4.068 2.324
F 0.000 1.649 2.324
F -1.396 4.068 2.324
F 2.824 0.000 0.000
F -1.412 2.446 0.000
F 1.412 2.446 0.000